Entry 1:
MnCoTe after structural relaxation. Source: the Alexandria database, functional PBEsol.

Lattice parameters (Å, degrees): 4.0773 4.0773 4.0773 60.00 60.00 60.00
With the nearest neighbours (Å) after each atom.
Fractional positions:
1 Mn 0.0000 0.0000 0.0000  4 Co 2.50
2 Co 0.7500 0.7500 0.7500  4 Mn 2.50, 4 Te 2.50
3 Te 0.5000 0.5000 0.5000  4 Co 2.50

Properties
energy	-21.2	eV per cell
size of the total moment	4.00	μB/f.u.
excess energy over the best structure of this formula in the dataset	0.000	eV per atom
formation energy without anion corrections	-0.16	eV/f.u.


Entry 2:
MnCoTe after structural relaxation. Source: the Alexandria database, functional PBEsol.

Lattice parameters (Å, degrees): 3.4035 3.3960 4.5184 112.07 112.12 90.00
With the nearest neighbours (Å) after each atom.
Fractional positions:
1 Co 0.9938 0.9938 0.9876  5 Te 2.50-2.75, 5 Mn 2.64-2.68
2 Te 0.6673 0.6673 0.3346  5 Co 2.50-2.75, 5 Mn 2.51-2.74
3 Mn 0.3389 0.3389 0.6778  5 Te 2.51-2.74, 5 Co 2.64-2.68

Properties
energy	-20.2	eV per cell
size of the total moment	3.81	μB/f.u.
excess energy over the best structure of this formula in the dataset	0.341	eV per atom
formation energy without anion corrections	0.86	eV/f.u.


Entry 3:
MnCoTe2 after structural relaxation. Source: the Alexandria database, functional PBEsol.

Lattice parameters (Å, degrees): 3.4188 3.4188 6.8111 90.00 90.00 90.00
With the nearest neighbours (Å) after each atom.
Fractional positions:
1 Co 0.0000 0.0000 0.5242  5 Te 2.49-2.66, 4 Mn 2.78
2 Mn 0.5000 0.5000 0.7252  5 Te 2.48-2.67, 4 Co 2.78
3 Te 0.5000 0.5000 0.3606  1 Mn 2.48, 4 Co 2.66
4 Te 0.0000 0.0000 0.8900  1 Co 2.49, 4 Mn 2.67

Properties
energy	-24.4	eV per cell
size of the total moment	2.81	μB/f.u.
formation energy without anion corrections	0.16	eV/f.u.